Entry 1:
# MgSc3C, relaxed, DFT PBE
data_MgSc3C
_chemical_formula_sum 'Mg2 Sc6 C2'
_symmetry_space_group_name_H-M 'P -1'
_symmetry_Int_Tables_number 2
_cell_length_a 5.6621
_cell_length_b 5.7952
_cell_length_c 6.4904
_cell_angle_alpha 90.19
_cell_angle_beta 106.59
_cell_angle_gamma 97.48
loop_
_symmetry_equiv_pos_as_xyz
'x,y,z'
'-x,-y,-z'
loop_
_atom_site_label
_atom_site_type_symbol
_atom_site_fract_x
_atom_site_fract_y
_atom_site_fract_z
_atom_site_occupancy
Mg1 Mg 0.2392 0.1352 0.1811 1
Sc1 Sc 0.2292 0.6034 0.4333 1
Sc2 Sc 0.2414 0.1089 0.6733 1
Sc3 Sc 0.2612 0.6440 0.9296 1
C1 C 0.0174 0.7532 0.6261 1
# total magnetic moment = 0.00 Bohr magnetons per cell
# ΔH_f (0 K) = -0.216 eV/atom
# DFT total energy = -6.1781 eV per atom
# mass density = 2.8 g/cm3
# distance to the lowest polymorph of the same formula = 0.1024 eV per atom
# volume = 202.18 Å³ per cell

***

Entry 2:
# MgSc3C, relaxed, DFT PBE
data_MgSc3C
_chemical_formula_sum 'Mg4 Sc12 C4'
_symmetry_space_group_name_H-M 'I m m a'
_symmetry_Int_Tables_number 74
_symmetry_space_group_name_Hall '-I 2b 2'
_cell_length_a 6.1627
_cell_length_b 7.8568
_cell_length_c 8.6404
_cell_angle_alpha 90.00
_cell_angle_beta 90.00
_cell_angle_gamma 90.00
loop_
_atom_site_label
_atom_site_type_symbol
_atom_site_fract_x
_atom_site_fract_y
_atom_site_fract_z
_atom_site_occupancy
Mg1 Mg 0.0000 0.0000 0.0000 1
Sc1 Sc 0.0000 0.0702 0.3537 1
Sc2 Sc 0.2500 0.2500 0.7500 1
C1 C 0.0000 0.2500 0.5522 1
# total magnetic moment = 0.00 Bohr magnetons per cell
# ΔH_f (0 K) = 0.132 eV/atom
# DFT total energy = -5.8303 eV per atom
# mass density = 2.7 g/cm3
# distance to the lowest polymorph of the same formula = 0.4502 eV per atom
# volume = 418.36 Å³ per cell

***

Entry 3:
# MgSc3C, relaxed, DFT PBE
data_MgSc3C
_chemical_formula_sum 'Mg4 Sc12 C4'
_symmetry_space_group_name_H-M 'I m m m'
_symmetry_Int_Tables_number 71
_symmetry_space_group_name_Hall '-I 2 2'
_cell_length_a 3.2541
_cell_length_b 10.0558
_cell_length_c 13.2492
_cell_angle_alpha 90.00
_cell_angle_beta 90.00
_cell_angle_gamma 90.00
loop_
_atom_site_label
_atom_site_type_symbol
_atom_site_fract_x
_atom_site_fract_y
_atom_site_fract_z
_atom_site_occupancy
Mg1 Mg 0.0000 0.1559 0.0000 1
Sc1 Sc 0.0000 0.1513 0.3456 1
Sc2 Sc 0.0000 0.5000 0.3324 1
C1 C 0.0000 0.5000 0.1698 1
# total magnetic moment = 0.00 Bohr magnetons per cell
# ΔH_f (0 K) = -0.106 eV/atom
# DFT total energy = -6.0689 eV per atom
# mass density = 2.6 g/cm3
# distance to the lowest polymorph of the same formula = 0.2117 eV per atom
# volume = 433.55 Å³ per cell

***

Entry 4:
# Mg2Sc2C, relaxed, DFT PBE
data_Mg2Sc2C
_chemical_formula_sum 'Mg4 Sc4 C2'
_symmetry_space_group_name_H-M 'I 4/m m m'
_symmetry_Int_Tables_number 139
_symmetry_space_group_name_Hall '-I 4 2'
_cell_length_a 3.4251
_cell_length_b 3.4251
_cell_length_c 16.3084
_cell_angle_alpha 90.00
_cell_angle_beta 90.00
_cell_angle_gamma 90.00
loop_
_atom_site_label
_atom_site_type_symbol
_atom_site_fract_x
_atom_site_fract_y
_atom_site_fract_z
_atom_site_occupancy
Mg1 Mg 0.0000 0.5000 0.2500 1
Sc1 Sc 0.0000 0.0000 0.0766 1
C1 C 0.0000 0.0000 0.5000 1
# total magnetic moment = 0.00 Bohr magnetons per cell
# ΔH_f (0 K) = 0.767 eV/atom
# DFT total energy = -4.2487 eV per atom
# mass density = 2.6 g/cm3
# distance to the lowest polymorph of the same formula = 1.0578 eV per atom
# volume = 191.32 Å³ per cell

***

Entry 5:
# Mg2ScC2, relaxed, DFT PBE
data_Mg2ScC2
_chemical_formula_sum 'Mg4 Sc2 C4'
_symmetry_space_group_name_H-M 'P 4/m b m'
_symmetry_Int_Tables_number 127
_symmetry_space_group_name_Hall '-P 4 2ab'
_cell_length_a 6.6002
_cell_length_b 6.6002
_cell_length_c 2.9589
_cell_angle_alpha 90.00
_cell_angle_beta 90.00
_cell_angle_gamma 90.00
loop_
_atom_site_label
_atom_site_type_symbol
_atom_site_fract_x
_atom_site_fract_y
_atom_site_fract_z
_atom_site_occupancy
Mg1 Mg 0.1374 0.3626 0.0000 1
Sc1 Sc 0.0000 0.0000 0.5000 1
C1 C 0.1726 0.6726 0.5000 1
# total magnetic moment = 0.00 Bohr magnetons per cell
# ΔH_f (0 K) = 0.582 eV/atom
# DFT total energy = -5.0118 eV per atom
# mass density = 3.0 g/cm3
# distance to the lowest polymorph of the same formula = 0.2329 eV per atom
# volume = 128.90 Å³ per cell

***

Entry 6:
# MgSc3C, relaxed, DFT PBE
data_MgSc3C
_chemical_formula_sum 'Mg2 Sc6 C2'
_symmetry_space_group_name_H-M 'A m m 2'
_symmetry_Int_Tables_number 38
_cell_length_a 3.2109
_cell_length_b 6.1901
_cell_length_c 16.0990
_cell_angle_alpha 90.00
_cell_angle_beta 90.00
_cell_angle_gamma 90.00
loop_
_symmetry_equiv_pos_as_xyz
'x,y,z'
'-x,-y,z'
'-x,y,z'
'x,-y,z'
'x,y+1/2,z+1/2'
'-x,-y+1/2,z+1/2'
'-x,y+1/2,z+1/2'
'x,-y+1/2,z+1/2'
loop_
_atom_site_label
_atom_site_type_symbol
_atom_site_fract_x
_atom_site_fract_y
_atom_site_fract_z
_atom_site_occupancy
Mg1 Mg 0.0000 0.0000 0.0000 1
Sc1 Sc 0.0000 0.2402 0.6763 1
Sc2 Sc 0.5000 0.0000 0.8234 1
C1 C 0.5000 0.0000 0.6885 1
# total magnetic moment = 2.75 Bohr magnetons per cell
# ΔH_f (0 K) = 0.398 eV/atom
# DFT total energy = -5.5647 eV per atom
# mass density = 1.8 g/cm3
# distance to the lowest polymorph of the same formula = 0.7159 eV per atom
# volume = 319.98 Å³ per cell